Record 1
Compound: Y3ErIr2
Source: Alexandria
Functional: PBE-GGA
Structure: optimized geometry

Summary:
relative energy among the computed polymorphs	0.0000	eV/atom
crystal system	orthorhombic
ΔH_f (0 K)	-3.8	eV/f.u.

```
Y3ErIr2
1.0
6.744 0.000 0.000
0.000 7.080 0.000
-3.372 -3.540 6.787
Y Er Ir
6 2 4
Cartesian
3.372 -1.770 3.613
0.000 1.770 3.175
3.372 1.770 0.000
3.372 1.770 3.613
0.000 5.310 3.175
3.372 5.310 0.000
0.000 0.000 0.000
0.000 3.540 0.000
1.921 3.540 1.863
1.451 0.000 4.924
4.823 0.000 1.863
-1.451 3.540 4.924
```

Record 2
Compound: SiAg2BiTe4
Source: Alexandria
Functional: PBE-GGA
Structure: optimized geometry

Summary:
ΔE_f (raw)	-0.04	eV per atom
crystal system	orthorhombic

```
SiAg2BiTe4
1.0
6.804 0.278 0.000
-0.287 6.804 0.000
-3.259 -3.541 5.900
Te Ag Si Bi
4 2 1 1
Cartesian
1.720 4.957 1.494
-1.417 -1.540 4.404
1.417 1.540 4.404
4.797 2.125 1.494
-0.144 3.402 2.951
3.402 0.139 2.951
0.000 0.000 5.898
0.000 0.000 0.006
```

Record 3
Compound: Zr3GaH
Source: Alexandria
Functional: PBE-GGA
Structure: optimized geometry

Summary:
crystal system	triclinic
calculated total energy	-6.790	eV per atom

```
Zr3GaH
1.0
-4.024 0.161 2.771
-2.287 -4.495 -3.010
7.123 -3.003 1.836
Zr Ga H
6 2 2
Cartesian
1.060 -2.688 3.729
-1.118 -4.053 0.738
-0.249 -4.649 -2.132
1.930 -3.284 0.859
4.390 -5.801 0.102
-3.578 -1.535 1.495
1.287 -5.968 0.026
-0.476 -1.368 1.571
3.694 -4.252 1.285
-2.882 -3.085 0.311
```

Record 4
Compound: MnCuW2
Source: Alexandria
Functional: PBE-GGA
Structure: optimized geometry

Summary:
relative energy among the computed polymorphs	0.0191	eV/atom
crystal system	tetragonal
ΔH_f (0 K)	1.0	eV/f.u.

```
MnCuW2
1.0
-2.624 0.504 -2.734
-1.363 -3.511 0.660
-2.405 1.417 2.570
Cu Mn W
1 1 2
Cartesian
-2.514 0.960 -0.082
-1.884 -1.047 1.615
0.000 0.000 0.000
-1.993 -1.503 -1.037
```